A plane-wave DFT calculation with PBE was carried out for a relaxed TiBeTeN2 crystal.

Cell and atoms, written as POSCAR:
```
TiBeTeN2
1.0
-2.1214 -0.7028 3.0922
-0.4400 -3.6191 -1.1244
4.9113 -1.5355 3.0203
Be N Te Ti
1 2 1 1
direct
0.5000 0.5000 0.5000
0.0000 0.5000 0.0000
0.5000 0.0000 0.0000
0.0000 0.0000 0.5000
0.0000 0.0000 0.0000
```

Output
- SG: P4/mmm, No. 123
- E above lowest polymorph: 0 meV/atom
- Total moment: 0.000 μB per atom
- Energy relative to the elements, uncorrected: 0.489 eV/atom

***

A plane-wave DFT calculation with PBE was carried out for a relaxed CaPm6Ge4 crystal.

Cell and atoms, written as POSCAR:
```
CaPm6Ge4
1.0
-1.6906 -0.4228 3.7802
-2.7914 -8.6098 -2.2114
8.3616 1.3317 3.8884
Ca Pm Ge
1 6 4
direct
0.0000 0.0000 0.0000
0.0000 0.5410 0.0819
0.5000 0.6099 0.8049
0.0000 0.5410 0.4590
0.0000 0.9181 0.4590
0.5000 0.1951 0.8049
0.5000 0.1951 0.3901
0.5000 0.8310 0.6619
0.5000 0.3381 0.1690
0.5000 0.8310 0.1690
0.0000 0.3333 0.6667
```

Output
- ΔH_f (0 K): -0.5468 eV per atom
- SG: P-6m2, No. 187
- Total moment: 0.166 μB per atom

***

A plane-wave DFT calculation with PBE was carried out for a relaxed LiTiPbF6 crystal.

Cell and atoms, written as POSCAR:
```
LiTiPbF6
1.0
5.3596 0.0000 0.0000
-2.6798 4.6415 0.0000
0.0000 0.0000 10.6075
Li Ti Pb F
2 2 2 12
direct
0.3333 0.6667 0.2500
0.6667 0.3333 0.7500
0.6667 0.3333 0.2500
0.3333 0.6667 0.7500
0.0000 0.0000 0.0000
0.0000 0.0000 0.5000
0.6380 0.6273 0.1457
0.9893 0.3620 0.1457
0.3620 0.9893 0.6457
0.0107 0.6380 0.8543
0.3727 0.3620 0.3543
0.9893 0.6273 0.3543
0.6273 0.9893 0.8543
0.6380 0.0107 0.3543
0.0107 0.3727 0.6457
0.3727 0.0107 0.1457
0.6273 0.6380 0.6457
0.3620 0.3727 0.8543
```

Output
- SG: P-31c, No. 163
- Total moment: 0.111 μB per atom
- Energy relative to the elements, uncorrected: -2.929 eV/atom

***

A plane-wave DFT calculation with PBE was carried out for a relaxed KP2Pt crystal.

Cell and atoms, written as POSCAR:
```
KP2Pt
1.0
-2.1450 5.4480 0.5790
-2.8470 1.5230 -4.9185
0.3606 -3.3725 4.8076
K P Pt
1 2 1
direct
0.2404 0.7404 0.5000
0.9192 0.9192 0.0000
0.7638 0.2638 0.5000
0.5767 0.5767 0.0000
```

Output
- ΔH_f (0 K): 0.0920 eV per atom
- SG: Imm2, No. 44
- E above lowest polymorph: 519 meV/atom
- Total moment: 0.000 μB per atom

***

A plane-wave DFT calculation with PBE was carried out for a relaxed K2Si4SbO11 crystal.

Cell and atoms, written as POSCAR:
```
K2Si4SbO11
1.0
-1.7126 -5.1441 -3.5909
10.2311 -0.7679 -3.7796
4.4016 -7.0881 13.3551
K Si Sb O
8 16 4 44
direct
0.7190 0.5174 0.9284
0.7190 0.9826 0.4284
0.2810 0.4826 0.0716
0.2810 0.0174 0.5716
0.7141 0.8942 0.9192
0.7141 0.6058 0.4192
0.2859 0.1058 0.0808
0.2859 0.3942 0.5808
0.4682 0.2908 0.2905
0.4682 0.2092 0.7905
0.5318 0.7092 0.7095
0.5318 0.7908 0.2095
0.1509 0.0849 0.3186
0.1509 0.4151 0.8186
0.8491 0.9151 0.6814
0.8491 0.5849 0.1814
0.9046 0.2779 0.4119
0.9046 0.2221 0.9119
0.0954 0.7221 0.5881
0.0954 0.7779 0.0881
0.1535 0.4833 0.3451
0.1535 0.0167 0.8451
0.8465 0.5167 0.6549
0.8465 0.9833 0.1549
0.7236 0.2846 0.1000
0.7236 0.2154 0.6000
0.2764 0.7154 0.9000
0.2764 0.7846 0.4000
0.2902 0.3982 0.2910
0.2902 0.1018 0.7910
0.7098 0.6018 0.7090
0.7098 0.8982 0.2090
0.6676 0.3226 0.3681
0.6676 0.1774 0.8681
0.3324 0.6774 0.6319
0.3324 0.8226 0.1319
0.5254 0.2895 0.1954
0.5254 0.2105 0.6954
0.4746 0.7105 0.8046
0.4746 0.7895 0.3046
0.3668 0.1579 0.3108
0.3668 0.3421 0.8108
0.6332 0.8421 0.6892
0.6332 0.6579 0.1892
0.1900 0.9741 0.3876
0.1900 0.5259 0.8876
0.8100 0.0259 0.6124
0.8100 0.4741 0.1124
0.0521 0.0385 0.2199
0.0521 0.4615 0.7199
0.9479 0.9615 0.7801
0.9479 0.5385 0.2801
0.9737 0.1769 0.3454
0.9737 0.3231 0.8454
0.0263 0.8231 0.6546
0.0263 0.6769 0.1546
0.9329 0.2225 0.5087
0.9329 0.2775 0.0087
0.0671 0.7775 0.4913
0.0671 0.7225 0.9913
0.0559 0.3997 0.4155
0.0559 0.1003 0.9155
0.9441 0.6003 0.5845
0.9441 0.8997 0.0845
0.2942 0.5889 0.3993
0.2942 0.9111 0.8993
0.7058 0.4111 0.6007
0.7058 0.0889 0.1007
0.5149 0.6927 0.9851
0.5149 0.8073 0.4851
0.4851 0.3073 0.0149
0.4851 0.1927 0.5149
```

Output
- SG: P2_1/c, No. 14
- Total moment: 0.056 μB per atom
- Energy relative to the elements, uncorrected: -2.370 eV/atom

***

A plane-wave DFT calculation with PBE was carried out for a relaxed Fe3Ni6Ge crystal.

Cell and atoms, written as POSCAR:
```
Fe3Ni6Ge
1.0
3.5856 0.0000 0.0000
0.0000 7.9559 -0.1840
0.0000 0.0106 8.0434
Fe Ni Ge
6 12 2
direct
0.2500 0.5532 0.3992
0.7500 0.4468 0.6008
0.2500 0.3465 0.7952
0.7500 0.6535 0.2048
0.2500 0.7488 0.0034
0.7500 0.2512 0.9966
0.2500 0.4537 0.0984
0.7500 0.5463 0.9016
0.2500 0.1587 0.1885
0.7500 0.8413 0.8115
0.2500 0.6388 0.7037
0.7500 0.3612 0.2963
0.2500 0.2461 0.4959
0.7500 0.7539 0.5041
0.2500 0.8596 0.3066
0.7500 0.1404 0.6934
0.2500 0.0523 0.9030
0.7500 0.9477 0.0970
0.2500 0.9329 0.6258
0.7500 0.0671 0.3742
```

Output
- ΔH_f (0 K): -0.1076 eV per atom
- SG: P2_1/m, No. 11
- Total moment: 1.066 μB per atom

***

A plane-wave DFT calculation with PBE was carried out for a relaxed CaAc3Mn crystal.

Cell and atoms, written as POSCAR:
```
CaAc3Mn
1.0
-1.9071 3.4651 4.1992
-5.3895 -1.8310 -0.9368
0.7701 -4.2329 3.8427
Ac Mn Ca
3 1 1
direct
0.0000 0.5000 0.0000
0.0000 0.0000 0.5000
0.5000 0.0000 0.0000
0.0000 0.0000 0.0000
0.5000 0.5000 0.5000
```

Output
- ΔH_f (0 K): 0.1983 eV per atom
- SG: Pm-3m, No. 221
- Total moment: 0.177 μB per atom

***

A plane-wave DFT calculation with PBE was carried out for a relaxed La2YAgN crystal.

Cell and atoms, written as POSCAR:
```
La2YAgN
1.0
5.1741 0.0000 0.0000
0.0000 5.1741 0.0000
0.0000 0.0000 4.7140
Y N Ag La
1 1 1 2
direct
0.0000 0.0000 0.5000
0.0000 0.0000 0.0000
0.5000 0.5000 0.5000
0.0000 0.5000 0.0000
0.5000 0.0000 0.0000
```

Output
- SG: P4/mmm, No. 123
- Total moment: 0.000 μB per atom
- Energy relative to the elements, uncorrected: -0.654 eV/atom

***

A plane-wave DFT calculation with PBE was carried out for a relaxed UNb2Rh crystal.

Cell and atoms, written as POSCAR:
```
UNb2Rh
1.0
-2.3881 0.2858 -1.5217
-2.4624 -1.0041 1.0142
-3.5074 9.1800 4.5668
Rh Nb U
1 2 1
direct
0.0000 0.0000 0.0000
0.0780 0.0780 0.7661
0.9220 0.9220 0.2339
0.5000 0.5000 0.5000
```

Output
- ΔH_f (0 K): 0.3382 eV per atom
- SG: R-3m, No. 166
- E above lowest polymorph: 331 meV/atom
- Total moment: 0.000 μB per atom

***

A plane-wave DFT calculation with PBE was carried out for a relaxed Fe2SbAu crystal.

Cell and atoms, written as POSCAR:
```
Fe2SbAu
1.0
5.2003 -0.0240 -0.0362
2.3166 4.6558 0.0362
-3.4517 -2.8137 2.6858
Au Fe Sb
1 2 1
direct
0.2363 0.7363 0.5000
0.9759 0.9759 0.0000
0.7777 0.2777 0.5000
0.5102 0.5102 0.0000
```

Output
- SG: Imm2, No. 44
- Total moment: 1.293 μB per atom
- Energy relative to the elements, uncorrected: 0.242 eV/atom

***

A plane-wave DFT calculation with PBE was carried out for a relaxed CsKBi3 crystal.

Cell and atoms, written as POSCAR:
```
CsKBi3
1.0
-6.2812 -1.5544 -0.5178
0.8529 -4.8538 4.2251
-1.3989 4.0202 4.9008
Cs K Bi
1 1 3
direct
0.0000 0.0000 0.0000
0.5000 0.5000 0.5000
0.0000 0.5000 0.0000
0.0000 0.0000 0.5000
0.5000 0.0000 0.0000
```

Output
- ΔH_f (0 K): 0.8102 eV per atom
- SG: Pm-3m, No. 221
- E above lowest polymorph: 307 meV/atom
- Total moment: 0.000 μB per atom

***

A plane-wave DFT calculation with PBE was carried out for a relaxed ZrVCoTe2 crystal.

Cell and atoms, written as POSCAR:
```
ZrVCoTe2
1.0
5.1254 0.0000 0.0000
0.0000 4.2408 0.0000
0.0000 0.0000 5.1254
Te Co Zr V
2 1 1 1
direct
0.0000 0.0000 0.5000
0.5000 0.0000 0.0000
0.0000 0.5000 0.0000
0.5000 0.5000 0.5000
0.0000 0.0000 0.0000
```

Output
- SG: P4/mmm, No. 123
- Total moment: 0.385 μB per atom
- Energy relative to the elements, uncorrected: 0.472 eV/atom

***

A plane-wave DFT calculation with PBE was carried out for a relaxed Er3InGa4 crystal.

Cell and atoms, written as POSCAR:
```
Er3InGa4
1.0
-3.3402 0.1411 1.1516
-0.4799 -6.3255 -0.6171
4.5747 2.1246 7.5799
In Ga Er
1 4 3
direct
0.5000 0.0000 0.0000
0.3725 0.5737 0.7450
0.6275 0.4263 0.2550
0.6275 0.8287 0.2550
0.3725 0.1713 0.7450
0.2090 0.2090 0.4181
0.7910 0.7910 0.5819
0.0000 0.5000 0.0000
```

Output
- ΔH_f (0 K): -0.3796 eV per atom
- SG: Immm, No. 71
- Total moment: 0.000 μB per atom

***

A plane-wave DFT calculation with PBE was carried out for a relaxed ScSiNO2 crystal.

Cell and atoms, written as POSCAR:
```
ScSiNO2
1.0
3.4952 0.0000 0.0000
0.0000 3.4952 0.0000
0.0000 0.0000 3.7185
Sc Si O N
1 1 2 1
direct
0.5000 0.5000 0.5000
0.0000 0.0000 0.0000
0.0000 0.5000 0.0000
0.5000 0.0000 0.0000
0.0000 0.0000 0.5000
```

Output
- SG: P4/mmm, No. 123
- Total moment: 0.000 μB per atom
- Energy relative to the elements, uncorrected: -2.039 eV/atom

***

A plane-wave DFT calculation with PBE was carried out for a relaxed YTmTh2Sb5 crystal.

Cell and atoms, written as POSCAR:
```
YTmTh2Sb5
1.0
5.2228 0.0000 0.0000
0.0000 5.2228 0.0000
0.0000 0.0000 11.4465
Y Tm Th Sb
1 1 2 5
direct
0.0000 0.0000 0.0000
0.0000 0.0000 0.5000
0.5000 0.5000 0.2988
0.5000 0.5000 0.7012
0.0000 0.5000 0.5000
0.5000 0.0000 0.5000
0.0000 0.0000 0.7517
0.0000 0.0000 0.2483
0.5000 0.5000 0.0000
```

Output
- SG: P4/mmm, No. 123
- Total moment: 0.000 μB per atom
- Energy relative to the elements, uncorrected: -0.236 eV/atom

***

A plane-wave DFT calculation with PBE was carried out for a relaxed TaTi2Pd crystal.

Cell and atoms, written as POSCAR:
```
TaTi2Pd
1.0
-3.7946 0.2935 0.0666
-0.0998 -2.0219 3.2236
-1.2181 7.3840 6.8412
Ti Pd Ta
4 2 2
direct
0.6270 0.1250 0.2500
0.1230 0.6250 0.2500
0.3750 0.3730 0.7500
0.8750 0.8770 0.7500
0.5000 0.5000 0.0000
0.2500 0.7500 0.5000
0.0000 0.0000 0.0000
0.7500 0.2500 0.5000
```

Output
- ΔH_f (0 K): 0.2854 eV per atom
- SG: I-42d, No. 122
- E above lowest polymorph: 612 meV/atom
- Total moment: 0.000 μB per atom

***

A plane-wave DFT calculation with PBE was carried out for a relaxed CsLiMo2P crystal.

Cell and atoms, written as POSCAR:
```
CsLiMo2P
1.0
5.1392 0.0000 0.0000
0.0000 5.5415 0.0000
0.0000 0.0000 5.1392
Cs P Mo Li
1 1 2 1
direct
0.0000 0.0000 0.0000
0.0000 0.5000 0.0000
0.0000 0.0000 0.5000
0.5000 0.0000 0.0000
0.5000 0.5000 0.5000
```

Output
- ΔH_f (0 K): 2.8321 eV per atom
- SG: P4/mmm, No. 123
- Total moment: 0.920 μB per atom